{"formula": "AlVPdF2", "functional": "PBE with a Hubbard U", "state": "relaxed", "n_ef_per_ev_cell": 2.42, "energy_ev_per_atom": -3.98, "lattice": [[4.162, 0.000, 0.000], [0.000, 4.162, 0.000], [0.000, 0.000, 5.087]], "species": ["Al", "V", "Pd", "F", "F"], "fractional_positions": [[0.000, 0.000, 0.000], [0.500, 0.500, 0.000], [0.000, 0.000, 0.500], [0.000, 0.500, 0.500], [0.500, 0.000, 0.500]]}